Record 1
CaTl2Pt2 | GGA-PBE | relaxed

It has space group I4/mmm (No. 139), with a = 4.385 Å, b = 4.385 Å, c = 12.500 Å, α = 90.00°, β = 90.00° and γ = 90.00°. Symmetry generates all atoms from Ca at (0.000, 0.000, 0.000), Tl at (0.000, 0.500, 0.250) and Pt at (0.000, 0.000, 0.397).

Its energy above the lowest structure with this stoichiometry is 0 kJ/mol of formula units. For the total magnetization, the calculation gives 0.0 μB per cell.

=====

Record 2
Ca2TlPt | GGA-PBE | relaxed

It has space group C2/m (No. 12), with a = 6.992 Å, b = 3.984 Å, c = 8.738 Å, α = 90.00°, β = 104.73° and γ = 90.00°. Symmetry generates all atoms from Ca at (0.231, 0.000, 0.196), Tl at (0.000, 0.000, 0.500) and Pt at (0.000, 0.500, 0.000).

Its energy above the lowest structure with this stoichiometry is 43 kJ/mol of formula units. For the total magnetization, the calculation gives 0.0 μB per cell.

=====

Record 3
CaTlPt10 | GGA-PBE | relaxed

It has space group Pmmm (No. 47), with a = 4.438 Å, b = 5.412 Å, c = 9.304 Å, α = 90.00°, β = 90.00° and γ = 90.00°. Symmetry generates all atoms from Ca at (0.000, 0.000, 0.000), Tl at (0.000, 0.500, 0.500), Pt at (0.000, 0.000, 0.336), Pt at (0.000, 0.500, 0.173), Pt at (0.500, 0.000, 0.500), Pt at (0.500, 0.248, 0.246) and Pt at (0.500, 0.500, 0.000).

For the total magnetization, the calculation gives 0.0 μB per cell.

=====

Record 4
Ca8Tl2Pt | GGA-PBE | relaxed

It has space group Immm (No. 71), with a = 5.313 Å, b = 8.888 Å, c = 14.559 Å, α = 90.00°, β = 90.00° and γ = 90.00°. Symmetry generates all atoms from Ca at (0.000, 0.000, 0.127), Ca at (0.000, 0.229, 0.347), Ca at (0.000, 0.320, 0.000), Tl at (0.000, 0.500, 0.193) and Pt at (0.000, 0.500, 0.500).

Its energy above the lowest structure with this stoichiometry is 115 kJ/mol of formula units. For the total magnetization, the calculation gives 0.0 μB per cell.

=====

Record 5
Ca2TlPt | GGA-PBE | relaxed

It has space group F-43m (No. 216), with a = 7.172 Å, b = 7.172 Å, c = 7.172 Å, α = 90.00°, β = 90.00° and γ = 90.00°. Symmetry generates all atoms from Ca at (0.000, 0.000, 0.000), Ca at (0.250, 0.250, 0.250), Tl at (0.000, 0.000, 0.500) and Pt at (0.250, 0.250, 0.750).

Its energy above the lowest structure with this stoichiometry is 87 kJ/mol of formula units. For the total magnetization, the calculation gives 0.0 μB per cell.

=====

Record 6
CaTlPt | GGA-PBE | relaxed

It has space group F-43m (No. 216), with a = 6.890 Å, b = 6.890 Å, c = 6.890 Å, α = 90.00°, β = 90.00° and γ = 90.00°. Symmetry generates all atoms from Ca at (0.000, 0.000, 0.000), Tl at (0.250, 0.250, 0.750) and Pt at (0.250, 0.250, 0.250).

For the total magnetization, the calculation gives 0.0 μB per cell.

=====

Looking at energy of formation for the records above, in order, we have -0.35; -0.55; -0.26; -0.29; -0.43; -0.11 eV per atom.
Looking at DOS at the Fermi energy for the records above, in order, we have 0.48; 0.37; 0.69; 0.78; 1.08; 0.79 states/eV per atom.
Looking at total DFT energy (no corrections) for the records above, in order, we have -41.2; -29.2; -67.9; -59.9; -56.6; -43.0 eV for the cell shown.